# 1
Entry from the Alexandria database: crystalline Y3ScAg at its relaxed geometry (PBEsol).

Space-group type: Pm-3m (221)
ΔH_f (0 K), eV/atom: 0.374
Calculated total energy, eV/atom: -5.70
Volume, Å³ per atom: 32.288
Magnetization, μB per cell: 0.85

a = 5.445 Å, b = 5.445 Å, c = 5.445 Å
α = 90.00°, β = 90.00°, γ = 90.00°
Atoms (fractional coordinates):
Y1 0.000 0.500 0.000
Y2 0.000 0.000 0.500
Y3 0.500 0.000 0.000
Sc1 0.500 0.500 0.500
Ag1 0.000 0.000 0.000

---

# 2
Entry from the Alexandria database: crystalline YScAg2 at its relaxed geometry (PBEsol).

Space-group type: Fm-3m (225)
Energy above the lowest structure with this stoichiometry, meV/atom: 0
ΔH_f (0 K), eV/atom: -0.303
Calculated total energy, eV/atom: -5.31
Volume, Å³ per atom: 21.139
Magnetization, μB per cell: 0.00

a = 4.927 Å, b = 4.927 Å, c = 4.927 Å
α = 60.00°, β = 60.00°, γ = 60.00°
Atoms (fractional coordinates):
Y1 0.500 0.500 0.500
Sc1 0.000 0.000 0.000
Ag1 0.750 0.750 0.750
Ag2 0.250 0.250 0.250

---

# 3
Entry from the Alexandria database: crystalline YScAg at its relaxed geometry (PBEsol).

Space-group type: P3m1 (156)
Energy above the lowest structure with this stoichiometry, meV/atom: 113
ΔH_f (0 K), eV/atom: -0.049
Calculated total energy, eV/atom: -5.63
Volume, Å³ per atom: 23.238
Magnetization, μB per cell: 0.00

a = 3.495 Å, b = 4.799 Å, c = 4.799 Å
α = 120.00°, β = 90.00°, γ = 90.00°
Atoms (fractional coordinates):
Ag1 0.939 0.000 0.000
Sc1 0.758 0.667 0.333
Y1 0.303 0.333 0.667

---

# 4
Entry from the Alexandria database: crystalline YScAg at its relaxed geometry (PBEsol).

Space-group type: I4mm (107)
Energy above the lowest structure with this stoichiometry, meV/atom: 0
ΔH_f (0 K), eV/atom: -0.162
Calculated total energy, eV/atom: -5.74
Volume, Å³ per atom: 23.272
Magnetization, μB per cell: 0.90

a = 3.425 Å, b = 3.425 Å, c = 6.425 Å
α = 105.46°, β = 105.46°, γ = 90.00°
Atoms (fractional coordinates):
Y1 0.344 0.344 0.689
Sc1 0.644 0.644 0.289
Ag1 0.011 0.011 0.023